# 1
KHgSe2O6 | PBE | optimized geometry

Unit cell a=5.7698 b=5.7698 c=18.2123 alpha=90.00 beta=90.00 gamma=120.00
Closest atoms and distances in Å follow each position.
Space group R-3 (No. 148, hexagonal axes)
Asymmetric unit:
K  0.0000  0.0000  0.0000  6 O 2.80
Hg  0.0000  0.0000  0.5000  6 O 2.39
Se  0.0000  0.0000  0.2736  3 O 1.72
O  0.0363  0.4072  0.9084  1 Se 1.72

Volume   17.503 Å³/atom
Crystal system   trigonal
Formation energy without anion corrections   -0.765 eV/atom
Raw total energy   -4.58 eV per atom



# 2
KRe2Ni | PBE | optimized geometry

Unit cell a=3.6901 b=3.6901 c=5.0962 alpha=90.00 beta=90.00 gamma=90.00
Closest atoms and distances in Å follow each position.
Space group P4/mmm (No. 123)
Asymmetric unit:
K  0.0000  0.0000  0.0000  4 Ni 2.61
Re  0.0000  0.5000  0.5000  4 Re 2.61
Ni  0.5000  0.5000  0.0000  4 K 2.61

Volume   17.348 Å³/atom
Crystal system   tetragonal
E_form   1542 meV per atom
Raw total energy   -6.40 eV per atom



# 3
CaTi2Fe | PBE | optimized geometry

Unit cell a=4.9458 b=4.9458 c=15.9550 alpha=90.00 beta=90.00 gamma=90.00
Closest atoms and distances in Å follow each position.
Space group I4_1/amd (No. 141, origin choice 2)
Asymmetric unit:
Ca  0.0000  0.2500  0.3750  8 Ti 3.41, 4 Fe 3.50
Ti  0.0000  0.0000  0.0000  2 Fe 2.35, 2 Ti 2.47
Fe  0.0000  0.2500  0.8750  4 Ti 2.35

Volume   24.392 Å³/atom
Crystal system   tetragonal
E_form   906 meV per atom
Raw total energy   -5.66 eV per atom



# 4
Rb2BeCl | PBE | optimized geometry

Unit cell a=8.9940 b=8.9940 c=9.5045 alpha=90.00 beta=90.00 gamma=90.00
Closest atoms and distances in Å follow each position.
Space group I-42d (No. 122)
Asymmetric unit:
Rb  0.2112  0.2500  0.1250  2 Cl 3.17
Be  0.0000  0.0000  0.5000  4 Rb 3.64
Cl  0.0000  0.0000  0.0000  4 Rb 3.17

Volume   48.053 Å³/atom
Crystal system   tetragonal
Formation energy without anion corrections   -0.160 eV/atom
Raw total energy   -2.04 eV per atom



# 5
AcMg2Ag | PBE | optimized geometry

Unit cell a=4.7305 b=4.7305 c=17.5292 alpha=90.00 beta=90.00 gamma=120.00
Closest atoms and distances in Å follow each position.
Space group R-3m (No. 166, hexagonal axes)
Asymmetric unit:
Ac  0.0000  0.0000  0.0000  8 Mg 3.52-3.62
Mg  0.0000  0.0000  0.2064  3 Ag 2.82, 3 Mg 3.07
Ag  0.0000  0.0000  0.5000  6 Mg 2.82

Volume   28.309 Å³/atom
Crystal system   trigonal
E_form   -74 meV per atom
Raw total energy   -2.61 eV per atom



# 6
CoTcAu2 | PBE | optimized geometry

Unit cell a=9.3531 b=2.7409 c=4.8987 alpha=90.00 beta=99.45 gamma=90.00
Closest atoms and distances in Å follow each position.
Space group C2/m (No. 12)
Asymmetric unit:
Co  0.0000  0.0000  0.0000  2 Co 2.74, 6 Au 2.79-2.82, 4 Tc 2.81
Tc  0.0000  0.5000  0.5000  2 Tc 2.74, 6 Au 2.80-2.83, 4 Co 2.81
Au  0.2480  0.5000  0.2473  6 Au 2.74-2.82, 3 Co 2.79-2.82, 3 Tc 2.80-2.83

Volume   15.485 Å³/atom
Crystal system   monoclinic
E_form   429 meV per atom
Raw total energy   -5.58 eV per atom